1.
Density functional theory data (PBE) for a geometry-optimized LaDyCdRu structure.

SG = No. 99
magnetization = 0.00 Bohr magnetons per cell
energy of formation from the pure elements = -0.317 eV/atom
energy above the lowest structure with this stoichiometry = 0.00 kcal/mol of atoms

Lattice parameters (Å, degrees): 3.526 3.526 7.938 90.00 90.00 90.00
Fractional positions:
La 0.000 0.000 0.000
Dy 0.000 0.000 0.570
Cd 0.500 0.500 0.306
Ru 0.500 0.500 0.770

=====

2.
Density functional theory data (PBE) for a geometry-optimized LaDyCdRu structure.

SG = No. 216
magnetization = 0.00 Bohr magnetons per cell
energy of formation from the pure elements = -0.207 eV/atom
energy above the lowest structure with this stoichiometry = 2.52 kcal/mol of atoms

Lattice parameters (Å, degrees): 5.163 5.163 5.163 60.00 60.00 60.00
Fractional positions:
La 0.000 0.000 0.000
Dy 0.500 0.500 0.500
Cd 0.750 0.750 0.750
Ru 0.250 0.250 0.250